[1]
First-principles (PBE) data for a geometry-optimized AlC structure, as listed in the Alexandria database.

Values from the calculation:
SG: P1, No. 1
spin magnetization: 0.0 μB/f.u.
raw total energy: -5.998 eV/atom
E above lowest polymorph: 0.260 eV/atom
ΔE_f: 0.97 eV/f.u.

Cell lengths 3.161, 3.253, 4.475 Å; angles 98.63, 93.76, 117.99 degrees
Positions (direct):
Al 0.000 0.000 0.000
Al 0.297 0.592 0.510
C 0.676 0.307 0.760
C 0.696 0.404 0.186

***

[2]
First-principles (PBE) data for a geometry-optimized Al3C2 structure, as listed in the Alexandria database.

Values from the calculation:
SG: I-42d, No. 122
spin magnetization: 0.0 μB/f.u.
raw total energy: -5.767 eV/atom
E above lowest polymorph: 0.014 eV/atom
ΔE_f: 0.84 eV/f.u.

Cell lengths 5.343, 5.343, 5.343 Å; angles 114.20, 114.20, 100.38 degrees
Positions (direct):
Al 0.000 0.000 0.000
Al 0.305 0.125 0.680
Al 0.375 0.695 0.820
Al 0.445 0.625 0.320
Al 0.750 0.250 0.500
Al 0.875 0.555 0.180
C 0.088 0.625 0.963
C 0.375 0.338 0.463
C 0.662 0.125 0.037
C 0.875 0.912 0.537

***

[3]
First-principles (PBE) data for a geometry-optimized AlC3 structure, as listed in the Alexandria database.

Values from the calculation:
SG: Pmmn, No. 59
spin magnetization: 0.0 μB/f.u.
raw total energy: -6.556 eV/atom
E above lowest polymorph: 0.517 eV/atom
ΔE_f: 5.19 eV/f.u.

Cell lengths 3.905, 4.234, 4.376 Å; angles 90.00, 90.00, 90.00 degrees
Positions (direct):
Al 0.250 0.250 0.165
Al 0.750 0.750 0.835
C 0.250 0.577 0.530
C 0.250 0.750 0.844
C 0.250 0.923 0.530
C 0.750 0.077 0.470
C 0.750 0.250 0.156
C 0.750 0.423 0.470

***

[4]
First-principles (PBE) data for a geometry-optimized AlC4 structure, as listed in the Alexandria database.

Values from the calculation:
SG: I4/mmm, No. 139
spin magnetization: 0.0 μB/f.u.
raw total energy: -6.702 eV/atom
E above lowest polymorph: 0.536 eV/atom
ΔE_f: 7.13 eV/f.u.

Cell lengths 4.524, 4.524, 4.524 Å; angles 108.40, 108.40, 111.63 degrees
Positions (direct):
Al 0.000 0.000 0.000
C 0.000 0.380 0.380
C 0.000 0.620 0.620
C 0.380 0.000 0.380
C 0.620 0.000 0.620